A geometry-optimized Li2CaAl10 structure, computed with PBE.

Values from the calculation:
Symmetry: Fmmm (69)
Energy: -3.42 eV per atom
Volume: 231 Å³ per cell

Cell: 9.3326 7.2521 6.9756 Å, 81.96 50.30 47.74°
Closest atoms and distances in Å follow each position.
Atoms (fractional coordinates):
Li 0.0000 0.5000 0.0000  2 Li 2.66, 8 Al 2.67-2.82
Li 0.5000 0.0000 0.5000  2 Li 2.66, 8 Al 2.67-2.82
Ca 0.0000 0.0000 0.0000  16 Al 3.30-3.49, 4 Li 3.63
Al 0.0000 0.0000 0.5000  10 Al 2.66-2.88
Al 0.0007 0.6464 0.3536  7 Al 2.73-2.93, 2 Li 2.82
Al 0.2727 0.4956 0.5044  2 Li 2.67, 7 Al 2.72-2.93
Al 0.3536 0.9993 0.0007  7 Al 2.73-2.93, 2 Li 2.82
Al 0.4956 0.2727 0.7273  2 Li 2.67, 7 Al 2.72-2.93
Al 0.5000 0.5000 0.0000  10 Al 2.66-2.88
Al 0.5044 0.7273 0.2727  2 Li 2.67, 7 Al 2.72-2.93
Al 0.6464 0.0007 0.9993  7 Al 2.73-2.93, 2 Li 2.82
Al 0.7273 0.5044 0.4956  2 Li 2.67, 7 Al 2.72-2.93
Al 0.9993 0.3536 0.6464  7 Al 2.73-2.93, 2 Li 2.82